BaAlPS2 after structural relaxation, computed with GGA-PBEsol.

## Properties
Relative energy among the computed polymorphs, eV per formula unit: 0.000
Space-group type: P4/mmm (123)
Formation energy (no corrections), eV per atom: -0.85
Density, g/cm3: 4.0

```
BaAlPS2
1.0
4.8492 0.0000 0.0000
0.0000 4.8492 0.0000
0.0000 0.0000 4.6278
Ba Al P S
1 1 1 2
direct
0.0000 0.0000 0.0000
0.5000 0.5000 0.5000
0.5000 0.5000 0.0000
0.0000 0.5000 0.5000
0.5000 0.0000 0.5000
```